{"formula": "YTlCdSe3", "functional": "PBE", "state": "optimized geometry", "lattice_angstrom": [[8.8703, -2.0946, 0.0000], [8.8703, 2.0946, 0.0000], [-2.2354, 0.0000, 9.1521]], "species": ["Y", "Y", "Tl", "Tl", "Cd", "Cd", "Se", "Se", "Se", "Se", "Se", "Se"], "fractional_positions": [[0.1728, 0.1728, 0.0892], [0.8272, 0.8272, 0.9108], [0.1400, 0.1400, 0.5655], [0.8600, 0.8600, 0.4345], [0.4924, 0.4924, 0.7846], [0.5076, 0.5076, 0.2154], [0.0000, 0.0000, 0.0000], [0.3341, 0.3341, 0.7097], [0.3370, 0.3370, 0.1278], [0.5000, 0.5000, 0.5000], [0.6630, 0.6630, 0.8722], [0.6659, 0.6659, 0.2903]], "de_polymorph_ev_per_atom": 0.038, "e_tot_ha_per_atom": -0.162, "space_group": "C2/m"}